# 1
# DyTlPdS3 PBE-GGA optimized geometry
# relative energy among the computed polymorphs: 0 meV/atom
data_DyTlPdS3
_chemical_formula_sum 'Dy2 Tl2 Pd2 S6'
_space_group_name_H-M_alt 'P 1 21/m 1'
_space_group_IT_number 11
_space_group_name_Hall '-P 2yb'
_cell_length_a 8.0260
_cell_length_b 4.0002
_cell_length_c 10.0779
_cell_angle_alpha 90.00
_cell_angle_beta 108.21
_cell_angle_gamma 90.00
loop_
_atom_site_label
_atom_site_type_symbol
_atom_site_fract_x
_atom_site_fract_y
_atom_site_fract_z
Dy1 Dy 0.1916 0.2500 0.1406
Tl1 Tl 0.2401 0.7500 0.7180
Pd1 Pd 0.4130 0.7500 0.4118
S1 S 0.0483 0.2500 0.8611
S2 S 0.2721 0.2500 0.4357
S3 S 0.4311 0.7500 0.1696

# 2
A geometry-optimized Lu4CdSN2 structure. Source: OQMD via LeMat-Bulk, functional PBE-GGA.

```
data_Lu4CdSN2
_chemical_formula_sum 'Lu4 Cd1 S1 N2'
_space_group_name_H-M_alt 'P -6 m 2'
_space_group_IT_number 187
_space_group_name_Hall 'P -6 2'
_cell_length_a 3.4567
_cell_length_b 3.4567
_cell_length_c 13.7867
_cell_angle_alpha 90.00
_cell_angle_beta 90.00
_cell_angle_gamma 120.00
loop_
_atom_site_label
_atom_site_type_symbol
_atom_site_fract_x
_atom_site_fract_y
_atom_site_fract_z
Lu1 Lu 0.0000 0.0000 0.1333
Lu2 Lu 0.3333 0.6667 0.3200
Cd1 Cd 0.0000 0.0000 0.5000
S1 S 0.3333 0.6667 0.0000
N1 N 0.6667 0.3333 0.2221
```

# 3
A geometry-optimized BMo2Au structure. Source: OQMD via LeMat-Bulk, functional PBE-GGA.

```
data_BMo2Au
_chemical_formula_sum 'B2 Mo4 Au2'
_space_group_name_H-M_alt 'P 63/m m c'
_space_group_IT_number 194
_space_group_name_Hall '-P 6c 2c'
_cell_length_a 3.1167
_cell_length_b 3.1167
_cell_length_c 13.7686
_cell_angle_alpha 90.00
_cell_angle_beta 90.00
_cell_angle_gamma 120.00
loop_
_atom_site_label
_atom_site_type_symbol
_atom_site_fract_x
_atom_site_fract_y
_atom_site_fract_z
B1 B 0.0000 0.0000 0.0000
Mo1 Mo 0.3333 0.6667 0.0844
Au1 Au 0.3333 0.6667 0.7500
```

# 4
A geometry-optimized Si2Ag2Pb3 structure. Source: OQMD via LeMat-Bulk, functional PBE-GGA.

```
data_Si2Ag2Pb3
_chemical_formula_sum 'Si6 Ag6 Pb9'
_space_group_name_H-M_alt 'R 3 m'
_space_group_IT_number 160
_space_group_name_Hall 'R 3 -2"'
_cell_length_a 5.0104
_cell_length_b 5.0104
_cell_length_c 24.4146
_cell_angle_alpha 90.00
_cell_angle_beta 90.00
_cell_angle_gamma 120.00
loop_
_atom_site_label
_atom_site_type_symbol
_atom_site_fract_x
_atom_site_fract_y
_atom_site_fract_z
Si1 Si 0.0000 0.0000 0.0000
Si2 Si 0.0000 0.0000 0.4951
Ag1 Ag 0.0000 0.0000 0.2301
Ag2 Ag 0.0000 0.0000 0.7472
Pb1 Pb 0.0000 0.0000 0.3761
Pb2 Pb 0.0000 0.0000 0.6193
Pb3 Pb 0.0000 0.0000 0.8655
```

no.,E (eV/atom)
1,-5.03
2,-6.39
3,-7.97
4,-3.48